1.
Below is a geometry-optimized Sr2Ni3Ge4 structure, with properties calculated at the GGA-PBE level.

Summary:
For the formation energy, the calculation gives -3.196 eV per formula unit. The final energy is -4.708 eV per atom. Its spin magnetization is 0.00 μB/cell.

Cell: 5.738 5.738 6.856 Å, 101.30 101.30 122.12°
Fractional coordinates of all 9 atoms:
Sr 0.640 0.640 0.280
Sr 0.360 0.360 0.720
Ni 0.500 0.000 0.000
Ni 0.000 0.000 0.000
Ni 0.000 0.500 0.000
Ge 0.033 0.682 0.715
Ge 0.682 0.033 0.715
Ge 0.967 0.318 0.285
Ge 0.318 0.967 0.285

2.
Below is a geometry-optimized UTlRh4S8 structure, with properties calculated at the GGA-PBE level.

Summary:
The uncorrected formation energy comes out at -0.545 eV per atom. The final energy is -5.979 eV per atom. Its spin magnetization is 0.78 μB/cell.

Cell: 7.391 7.391 7.227 Å, 59.25 59.25 60.00°
Last column: magnetic moment on the atom in μB.
Fractional coordinates of all 14 atoms:
U 0.989 0.989 0.034  0.94
Tl 0.374 0.374 0.877  0.01
Rh 0.628 0.628 0.117  -0.11
Rh 0.998 0.512 0.493  0.01
Rh 0.512 0.998 0.493  0.01
Rh 0.998 0.998 0.493  0.01
S 0.245 0.801 0.708  -0.01
S 0.801 0.245 0.708  -0.01
S 0.245 0.245 0.708  -0.01
S 0.229 0.229 0.312  0.00
S 0.741 0.238 0.281  -0.03
S 0.238 0.741 0.281  -0.03
S 0.741 0.741 0.281  -0.03
S 0.762 0.762 0.715  0.00

3.
Below is a geometry-optimized Sr2ReRh structure, with properties calculated at the GGA-PBE level.

Summary:
For the formation energy, the calculation gives 1.714 eV per formula unit. The final energy is -5.362 eV per atom. The value obtained for the energy relative to the lowest polymorph listed for this composition is 256 meV/atom. Its spin magnetization is 0.00 μB/cell.

Cell: 3.143 3.731 9.199 Å, 90.00 90.00 90.00°
Fractional coordinates of all 4 atoms:
Re 0.000 0.000 0.577
Rh 0.500 0.500 0.677
Sr 0.000 0.000 0.921
Sr 0.500 0.500 0.325

4.
Below is a geometry-optimized Dy8Tl5H structure, with properties calculated at the GGA-PBE level.

Summary:
The final energy is -3.912 eV per atom. Its spin magnetization is 0.00 μB/cell.

Cell: 7.984 7.984 7.984 Å, 112.58 103.41 112.58°
Fractional coordinates of all 14 atoms:
Dy 0.217 0.740 0.029
Dy 0.971 0.188 0.712
Dy 0.698 0.230 0.296
Dy 0.704 0.402 0.933
Dy 0.531 0.598 0.302
Dy 0.524 0.812 0.783
Dy 0.288 0.260 0.476
Dy 0.067 0.770 0.469
Tl 0.058 0.359 0.172
Tl 0.828 0.886 0.186
Tl 0.814 0.641 0.699
Tl 0.500 0.000 0.500
Tl 0.301 0.114 0.942
H 0.250 0.500 0.750

5.
Below is a geometry-optimized Na2Ca2Br structure, with properties calculated at the GGA-PBE level.

Summary:
The uncorrected formation energy comes out at -0.145 eV per atom. The final energy is -1.808 eV per atom. The value obtained for the energy relative to the lowest polymorph listed for this composition is 253 meV/atom. Its spin magnetization is 0.75 μB/cell.

Cell: 4.661 4.661 10.211 Å, 76.81 76.81 90.00°
Last column: magnetic moment on the atom in μB.
Fractional coordinates of all 5 atoms:
Na 0.413 0.413 0.174  0.00
Na 0.587 0.587 0.826  0.00
Ca 0.750 0.250 0.500  0.07
Ca 0.250 0.750 0.500  0.07
Br 0.000 0.000 0.000  0.02

6.
Below is a geometry-optimized BaLa2CrCu structure, with properties calculated at the GGA-PBE level.

Summary:
For the formation energy, the calculation gives 7.097 eV per formula unit. The final energy is -3.680 eV per atom. Its spin magnetization is 3.21 μB/cell.

Cell: 5.896 5.041 5.896 Å, 90.00 90.00 90.00°
Last column: magnetic moment on the atom in μB.
Fractional coordinates of all 5 atoms:
Cr 0.000 0.500 0.000  3.43
Ba 0.000 0.000 0.000  -0.16
Cu 0.500 0.500 0.500  0.01
La 0.000 0.000 0.500  -0.19
La 0.500 0.000 0.000  -0.11

7.
Below is a geometry-optimized Hf2Sb2Se structure, with properties calculated at the GGA-PBE level.

Summary:
The uncorrected formation energy comes out at -0.565 eV per atom. The final energy is -6.892 eV per atom. The value obtained for the energy relative to the lowest polymorph listed for this composition is 0 meV/atom. Its spin magnetization is 0.00 μB/cell.

Cell: 5.794 7.735 11.911 Å, 90.00 90.00 90.00°
Fractional coordinates of all 20 atoms:
Hf 0.750 0.407 0.748
Hf 0.250 0.093 0.248
Hf 0.250 0.593 0.252
Hf 0.750 0.907 0.752
Hf 0.750 0.863 0.076
Hf 0.250 0.637 0.576
Hf 0.250 0.137 0.924
Hf 0.750 0.363 0.424
Sb 0.750 0.670 0.564
Sb 0.250 0.830 0.064
Sb 0.250 0.330 0.436
Sb 0.750 0.170 0.936
Sb 0.750 0.093 0.259
Sb 0.250 0.407 0.759
Sb 0.250 0.907 0.741
Sb 0.750 0.593 0.241
Se 0.750 0.154 0.599
Se 0.250 0.346 0.099
Se 0.250 0.846 0.401
Se 0.750 0.654 0.901

8.
Below is a geometry-optimized PuTl3Se4 structure, with properties calculated at the GGA-PBE level.

Summary:
The uncorrected formation energy comes out at -0.687 eV per atom. The final energy is -5.108 eV per atom. Its spin magnetization is 7.98 μB/cell.

Cell: 7.368 7.890 8.815 Å, 90.00 90.00 108.41°
Last column: magnetic moment on the atom in μB.
Fractional coordinates of all 16 atoms:
Tl 0.750 0.000 0.383  0.00
Tl 0.250 0.000 0.617  0.00
Tl 0.750 0.500 0.620  -0.02
Tl 0.750 0.500 0.128  -0.03
Tl 0.250 0.500 0.380  -0.02
Tl 0.250 0.500 0.872  -0.03
Se 0.972 0.220 0.649  -0.10
Se 0.498 0.209 0.895  -0.16
Se 0.472 0.220 0.351  -0.10
Se 0.998 0.209 0.105  -0.16
Se 0.002 0.791 0.895  -0.16
Se 0.528 0.780 0.649  -0.10
Se 0.502 0.791 0.105  -0.16
Se 0.028 0.780 0.351  -0.10
Pu 0.750 0.000 0.880  4.73
Pu 0.250 0.000 0.120  4.73

9.
Below is a geometry-optimized TbDy6Sc2 structure, with properties calculated at the GGA-PBE level.

Summary:
For the formation energy, the calculation gives 0.727 eV per formula unit. The final energy is -4.909 eV per atom. The value obtained for the energy relative to the lowest polymorph listed for this composition is 0 meV/atom. Its spin magnetization is 0.00 μB/cell.

Cell: 10.848 9.324 9.324 Å, 75.38 50.45 50.45°
Fractional coordinates of all 18 atoms:
Tb 0.250 0.333 0.667
Tb 0.750 0.667 0.333
Dy 0.606 0.393 0.591
Dy 0.894 0.409 0.607
Dy 0.394 0.607 0.409
Dy 0.106 0.591 0.393
Dy 0.779 0.015 0.334
Dy 0.721 0.666 0.985
Dy 0.221 0.985 0.666
Dy 0.279 0.334 0.015
Dy 0.318 0.718 0.978
Dy 0.182 0.022 0.282
Dy 0.682 0.282 0.022
Dy 0.818 0.978 0.718
Sc 0.023 0.756 0.918
Sc 0.477 0.082 0.244
Sc 0.977 0.244 0.082
Sc 0.523 0.918 0.756

10.
Below is a geometry-optimized NaLiH3 structure, with properties calculated at the GGA-PBE level.

Summary:
The final energy is -2.542 eV per atom. The value obtained for the energy relative to the lowest polymorph listed for this composition is 0 meV/atom. Its spin magnetization is 0.00 μB/cell.

Cell: 3.634 3.634 3.634 Å, 90.00 90.00 90.00°
Fractional coordinates of all 5 atoms:
Na 0.500 0.500 0.500
H 0.000 0.500 0.000
H 0.000 0.000 0.500
H 0.500 0.000 0.000
Li 0.000 0.000 0.000

11.
Below is a geometry-optimized HfSe3N structure, with properties calculated at the GGA-PBE level.

Summary:
The uncorrected formation energy comes out at 0.411 eV per atom. The final energy is -5.336 eV per atom. The value obtained for the energy relative to the lowest polymorph listed for this composition is 0 meV/atom. Its spin magnetization is 0.00 μB/cell.

Cell: 4.413 4.413 4.413 Å, 90.00 90.00 90.00°
Fractional coordinates of all 5 atoms:
Hf 0.500 0.500 0.500
Se 0.000 0.500 0.000
Se 0.000 0.000 0.500
Se 0.500 0.000 0.000
N 0.000 0.000 0.000

12.
Below is a geometry-optimized Bi4PdPb structure, with properties calculated at the GGA-PBE level.

Summary:
For the formation energy, the calculation gives -0.252 eV per formula unit. The final energy is -4.113 eV per atom. Its spin magnetization is 0.00 μB/cell.

Cell: 6.290 7.361 9.035 Å, 110.73 110.37 90.00°
Fractional coordinates of all 12 atoms:
Bi 0.555 0.041 0.836
Bi 0.719 0.459 0.164
Bi 0.445 0.959 0.164
Bi 0.281 0.541 0.836
Bi 0.949 0.897 0.612
Bi 0.337 0.603 0.388
Bi 0.051 0.103 0.388
Bi 0.663 0.397 0.612
Pd 0.500 0.000 0.500
Pd 0.000 0.500 0.500
Pb 0.872 0.750 0.000
Pb 0.128 0.250 0.000